# 1
The following is a PBE-GGA calculation of an optimized crystal structure of Th2Cd3, from Alexandria via LeMat-Bulk.

CIF file:
```
data_Th2Cd3
_chemical_formula_sum 'Th2 Cd3'
_symmetry_space_group_name_H-M 'P 1'
_symmetry_Int_Tables_number 1
_cell_length_a 5.246
_cell_length_b 5.246
_cell_length_c 6.424
_cell_angle_alpha 65.90
_cell_angle_beta 65.90
_cell_angle_gamma 60.00
loop_
_symmetry_equiv_pos_as_xyz
'x,y,z'
loop_
_atom_site_label
_atom_site_type_symbol
_atom_site_fract_x
_atom_site_fract_y
_atom_site_fract_z
Th1 Th 0.404 0.404 0.789
Th2 Th 0.596 0.596 0.211
Cd1 Cd 0.815 0.815 0.556
Cd2 Cd 0.000 0.000 0.000
Cd3 Cd 0.185 0.185 0.444
```

Summary:
distance to the lowest polymorph of the same formula = 96.3 meV per atom
space-group type = R-3m

=====

# 2
The following is a PBE-GGA calculation of an optimized crystal structure of ThCd3, from Alexandria via LeMat-Bulk.

CIF file:
```
data_ThCd3
_chemical_formula_sum 'Th1 Cd3'
_symmetry_space_group_name_H-M 'P 1'
_symmetry_Int_Tables_number 1
_cell_length_a 4.704
_cell_length_b 4.704
_cell_length_c 4.704
_cell_angle_alpha 90.00
_cell_angle_beta 90.00
_cell_angle_gamma 90.00
loop_
_symmetry_equiv_pos_as_xyz
'x,y,z'
loop_
_atom_site_label
_atom_site_type_symbol
_atom_site_fract_x
_atom_site_fract_y
_atom_site_fract_z
Th1 Th 0.000 0.000 0.000
Cd1 Cd 0.500 0.000 0.500
Cd2 Cd 0.000 0.500 0.500
Cd3 Cd 0.500 0.500 0.000
```

Summary:
space-group type = Pm-3m

=====

# 3
The following is a PBE-GGA calculation of an optimized crystal structure of Th3Cd, from Alexandria via LeMat-Bulk.

CIF file:
```
data_Th3Cd
_chemical_formula_sum 'Th3 Cd1'
_symmetry_space_group_name_H-M 'P 1'
_symmetry_Int_Tables_number 1
_cell_length_a 4.904
_cell_length_b 4.904
_cell_length_c 6.109
_cell_angle_alpha 113.66
_cell_angle_beta 113.66
_cell_angle_gamma 90.00
loop_
_symmetry_equiv_pos_as_xyz
'x,y,z'
loop_
_atom_site_label
_atom_site_type_symbol
_atom_site_fract_x
_atom_site_fract_y
_atom_site_fract_z
Cd1 Cd 0.000 0.000 0.000
Th1 Th 0.250 0.750 0.500
Th2 Th 0.750 0.250 0.500
Th3 Th 0.500 0.500 0.000
```

Summary:
distance to the lowest polymorph of the same formula = 18.7 meV per atom
space-group type = I4/mmm

=====

# 4
The following is a PBE-GGA calculation of an optimized crystal structure of Th7Cd, from Alexandria via LeMat-Bulk.

CIF file:
```
data_Th7Cd
_chemical_formula_sum 'Th7 Cd1'
_symmetry_space_group_name_H-M 'P 1'
_symmetry_Int_Tables_number 1
_cell_length_a 7.049
_cell_length_b 7.049
_cell_length_c 7.049
_cell_angle_alpha 60.00
_cell_angle_beta 60.00
_cell_angle_gamma 60.00
loop_
_symmetry_equiv_pos_as_xyz
'x,y,z'
loop_
_atom_site_label
_atom_site_type_symbol
_atom_site_fract_x
_atom_site_fract_y
_atom_site_fract_z
Th1 Th 0.500 0.000 0.500
Th2 Th 0.000 0.000 0.500
Th3 Th 0.000 0.500 0.500
Th4 Th 0.500 0.000 0.000
Th5 Th 0.500 0.500 0.000
Th6 Th 0.500 0.500 0.500
Th7 Th 0.000 0.500 0.000
Cd1 Cd 0.000 0.000 0.000
```

Summary:
space-group type = Fm-3m

=====

# 5
The following is a PBE-GGA calculation of an optimized crystal structure of ThCd2, from Alexandria via LeMat-Bulk.

CIF file:
```
data_ThCd2
_chemical_formula_sum 'Th1 Cd2'
_symmetry_space_group_name_H-M 'P 1'
_symmetry_Int_Tables_number 1
_cell_length_a 3.373
_cell_length_b 5.137
_cell_length_c 5.137
_cell_angle_alpha 120.00
_cell_angle_beta 90.00
_cell_angle_gamma 90.00
loop_
_symmetry_equiv_pos_as_xyz
'x,y,z'
loop_
_atom_site_label
_atom_site_type_symbol
_atom_site_fract_x
_atom_site_fract_y
_atom_site_fract_z
Th1 Th 0.500 0.000 0.000
Cd1 Cd 0.000 0.667 0.333
Cd2 Cd 0.000 0.333 0.667
```

Summary:
space-group type = P6/mmm

=====

# 6
The following is a PBE-GGA calculation of an optimized crystal structure of ThCd3, from Alexandria via LeMat-Bulk.

CIF file:
```
data_ThCd3
_chemical_formula_sum 'Th2 Cd6'
_symmetry_space_group_name_H-M 'P 1'
_symmetry_Int_Tables_number 1
_cell_length_a 4.789
_cell_length_b 6.585
_cell_length_c 6.453
_cell_angle_alpha 90.00
_cell_angle_beta 90.00
_cell_angle_gamma 90.00
loop_
_symmetry_equiv_pos_as_xyz
'x,y,z'
loop_
_atom_site_label
_atom_site_type_symbol
_atom_site_fract_x
_atom_site_fract_y
_atom_site_fract_z
Cd1 Cd 0.500 0.858 0.757
Cd2 Cd 0.500 0.858 0.243
Cd3 Cd 0.000 0.745 0.500
Cd4 Cd 0.000 0.142 0.257
Cd5 Cd 0.500 0.255 0.000
Cd6 Cd 0.000 0.142 0.743
Th1 Th 0.500 0.403 0.500
Th2 Th 0.000 0.597 0.000
```

Summary:
space-group type = Pmmn

=====

| no. | ΔH_f (0 K) (eV per atom) | VASP energy (eV per cell) | magnetic moment (μB per formula unit) |
| --- | --- | --- | --- |
| 1 | -0.042 | -17.80 | 0.0 |
| 2 | -0.075 | -10.46 | 0.0 |
| 3 | -0.002 | -23.18 | 0.0 |
| 4 | 0.010 | -52.77 | 0.0 |
| 5 | -0.182 | -9.80 | 0.0 |
| 6 | -0.125 | -21.33 | 0.0 |